A plane-wave DFT calculation with PBE was carried out for a relaxed MnSbP2Cl crystal.

Output
Energy relative to the elements, uncorrected (kJ/mol of formula units): 139
Electronic total energy (eV per atom): -4.9043
Calculated density (g/cm³): 4.58
ΔE to the lowest computed polymorph (meV per atom): 0.0
Total magnetization (μB per atom): 0.62

Cell lengths 4.6865, 4.6865, 4.5283 Å; angles 90.00, 90.00, 90.00 degrees
Last column: nearest neighbours and their distance in Å.
Fractional coordinates of all 5 atoms:
Sb1 0.5000 0.5000 0.5000  8 P 3.26, 4 Cl 3.31
Mn1 0.0000 0.0000 0.0000  2 Cl 2.26, 4 P 2.34
P1 0.5000 0.0000 0.0000  2 Mn 2.34
Cl1 0.0000 0.0000 0.5000  2 Mn 2.26
P2 0.0000 0.5000 0.0000  2 Mn 2.34